Record 1
The following is a PBE calculation of a geometry-optimized Sm4Sn2H structure, from the Alexandria database.

Properties
- E above lowest polymorph: 0 meV per atom
- SG: I4/mmm
- Raw total energy: -34.56 eV per cell
- Spin magnetization: 0.00 μB per cell

a = 4.641 Å, b = 4.641 Å, c = 9.232 Å
α = 75.44°, β = 75.44°, γ = 90.00°
Atoms (fractional coordinates):
H1 0.000 0.000 0.000
Sn1 0.637 0.637 0.726
Sn2 0.363 0.363 0.274
Sm1 0.822 0.822 0.356
Sm2 0.178 0.178 0.644
Sm3 0.000 0.500 0.000
Sm4 0.500 0.000 0.000

=====

Record 2
The following is a PBE calculation of a geometry-optimized Li2TcCl structure, from the Alexandria database.

Properties
- E above lowest polymorph: 849 meV per atom
- SG: Fm-3m
- E_form (uncorrected): 2.369 eV/f.u.
- Raw total energy: -13.67 eV per cell
- Spin magnetization: 4.00 μB per cell

a = 4.740 Å, b = 4.740 Å, c = 4.740 Å
α = 60.00°, β = 60.00°, γ = 60.00°
Each line ends with the local moment (μB).
Atoms (fractional coordinates):
Li1 0.250 0.250 0.250  0.00
Li2 0.750 0.750 0.750  0.00
Tc1 0.500 0.500 0.500  3.13
Cl1 0.000 0.000 0.000  0.16

=====

Record 3
The following is a PBE calculation of a geometry-optimized BaHo2Ni structure, from the Alexandria database.

Properties
- SG: R-3m
- ΔH_f (0 K): 12 meV per atom
- Raw total energy: -16.81 eV per cell
- Spin magnetization: 0.00 μB per cell

a = 3.942 Å, b = 3.942 Å, c = 10.802 Å
α = 79.49°, β = 79.49°, γ = 60.00°
Atoms (fractional coordinates):
Ni1 0.500 0.500 0.500
Ho1 0.122 0.122 0.634
Ho2 0.878 0.878 0.366
Ba1 0.000 0.000 0.000